# 1
# Sm6CdIn3

A relaxed structure of Sm6CdIn3 (PBE, Alexandria via LeMat-Bulk).

a = 5.4049 Å, b = 9.5004 Å, c = 11.8731 Å
α = 108.01°, β = 90.00°, γ = 90.00°
With the nearest neighbours (Å) after each atom.
Positions (direct):
In 0.2500 0.7715 0.9743  10 Sm 3.27-3.60
In 0.2500 0.3740 0.7837  8 Sm 3.22-3.43, 2 In 3.58
In 0.2500 0.5358 0.3796  8 Sm 3.24-3.41, 2 In 3.58
In 0.7500 0.6260 0.2163  8 Sm 3.22-3.43, 2 In 3.58
In 0.7500 0.2285 0.0257  10 Sm 3.27-3.60
In 0.7500 0.4642 0.6204  8 Sm 3.24-3.41, 2 In 3.58
Sm 0.7500 0.3374 0.3221  5 In 3.24-3.37, 1 Cd 3.28, 2 Sm 3.55
Sm 0.7500 0.7474 0.5016  4 In 3.22-3.41, 3 Cd 3.30-3.35
Sm 0.2500 0.0889 0.8783  3 Sm 3.19-3.37, 1 Cd 3.23, 4 In 3.24-3.54
Sm 0.2500 0.2526 0.4984  4 In 3.22-3.41, 3 Cd 3.30-3.35
Sm 0.7500 0.8678 0.8441  6 Sm 3.19-3.55, 3 In 3.38-3.44
Sm 0.2500 0.8440 0.3004  3 Cd 3.30-3.31, 3 In 3.34-3.36, 3 Sm 3.61-3.65
Sm 0.7500 0.9111 0.1217  3 Sm 3.19-3.37, 1 Cd 3.23, 4 In 3.24-3.54
Sm 0.2500 0.6626 0.6779  5 In 3.24-3.37, 1 Cd 3.28, 2 Sm 3.55
Sm 0.7500 0.5402 0.9137  7 In 3.27-3.60, 4 Sm 3.46-3.62
Sm 0.2500 0.4598 0.0863  7 In 3.27-3.60, 4 Sm 3.46-3.62
Sm 0.7500 0.1560 0.6996  3 Cd 3.30-3.31, 3 In 3.34-3.36, 3 Sm 3.61-3.65
Sm 0.2500 0.1322 0.1559  6 Sm 3.19-3.55, 3 In 3.38-3.44
Cd 0.7500 0.0401 0.4075  8 Sm 3.23-3.35
Cd 0.2500 0.9599 0.5925  8 Sm 3.23-3.35

Output
The energy of formation from the pure elements is -0.344 eV/atom. Its crystal system is monoclinic. For the density of states at the Fermi level, the calculation gives 20.5 states/eV/cell.

# 2
# Sm2Cd15In2

A relaxed structure of Sm2Cd15In2 (PBE, Alexandria via LeMat-Bulk).

a = 7.6835 Å, b = 7.6835 Å, c = 7.6835 Å
α = 83.63°, β = 83.63°, γ = 83.63°
With the nearest neighbours (Å) after each atom.
Positions (direct):
Cd 0.0000 0.0000 0.5000  8 Cd 2.94-3.04, 2 In 3.11
Cd 0.6857 0.0000 0.3143  8 Cd 2.94-3.22
Cd 0.6460 0.6460 0.1703  8 Cd 2.84-3.10
Cd 0.0000 0.6857 0.3143  8 Cd 2.94-3.22
Cd 0.3540 0.3540 0.8297  8 Cd 2.84-3.10
Cd 0.1703 0.6460 0.6460  8 Cd 2.84-3.10
Cd 0.3143 0.6857 0.0000  8 Cd 2.94-3.22
Cd 0.5000 0.0000 0.0000  8 Cd 2.94-3.04, 2 In 3.11
Cd 0.3540 0.8297 0.3540  8 Cd 2.84-3.10
Cd 0.8297 0.3540 0.3540  8 Cd 2.84-3.10
Cd 0.6460 0.1703 0.6460  8 Cd 2.84-3.10
Cd 0.3143 0.0000 0.6857  8 Cd 2.94-3.22
Cd 0.6857 0.3143 0.0000  8 Cd 2.94-3.22
Cd 0.0000 0.5000 0.0000  8 Cd 2.94-3.04, 2 In 3.11
Cd 0.0000 0.3143 0.6857  8 Cd 2.94-3.22
In 0.8993 0.8993 0.8993  1 In 2.96, 6 Cd 3.11-3.31
In 0.1007 0.1007 0.1007  1 In 2.96, 6 Cd 3.11-3.31
Sm 0.6692 0.6692 0.6692  1 In 3.39, 9 Cd 3.52-3.64
Sm 0.3308 0.3308 0.3308  1 In 3.39, 9 Cd 3.52-3.64

Output
The energy of formation from the pure elements is -0.126 eV/atom. Its crystal system is trigonal. For the density of states at the Fermi level, the calculation gives 7.6 states/eV/cell.

# 3
# Sm5Cd2In

A relaxed structure of Sm5Cd2In (PBE, Alexandria via LeMat-Bulk).

a = 7.9493 Å, b = 7.9493 Å, c = 9.5338 Å
α = 114.64°, β = 114.64°, γ = 90.00°
With the nearest neighbours (Å) after each atom.
Positions (direct):
Sm 0.3181 0.8181 0.3102  2 In 3.32, 3 Cd 3.34-3.35, 2 Sm 3.52-3.66
Sm 0.0000 0.0000 0.0000  4 Cd 3.13
Sm 0.1819 0.0079 0.6898  2 In 3.32, 3 Cd 3.34-3.35, 2 Sm 3.52-3.66
Sm 0.0079 0.5079 0.6898  2 In 3.32, 3 Cd 3.34-3.35, 2 Sm 3.52-3.66
Sm 0.9921 0.4921 0.3102  2 In 3.32, 3 Cd 3.34-3.35, 2 Sm 3.52-3.66
Sm 0.5000 0.5000 0.0000  4 Cd 3.13
Sm 0.5079 0.6819 0.6898  2 In 3.32, 3 Cd 3.34-3.35, 2 Sm 3.52-3.66
Sm 0.6819 0.1819 0.6898  2 In 3.32, 3 Cd 3.34-3.35, 2 Sm 3.52-3.66
Sm 0.8181 0.9921 0.3102  2 In 3.32, 3 Cd 3.34-3.35, 2 Sm 3.52-3.66
Sm 0.4921 0.3181 0.3102  2 In 3.32, 3 Cd 3.34-3.35, 2 Sm 3.52-3.66
Cd 0.6284 0.1284 0.0000  1 Cd 2.89, 2 Sm 3.13
Cd 0.8716 0.6284 0.0000  1 Cd 2.89, 2 Sm 3.13
Cd 0.3716 0.8716 0.0000  1 Cd 2.89, 2 Sm 3.13
Cd 0.1284 0.3716 0.0000  1 Cd 2.89, 2 Sm 3.13
In 0.2500 0.2500 0.5000  8 Sm 3.32
In 0.7500 0.7500 0.5000  8 Sm 3.32

Output
The energy of formation from the pure elements is -0.228 eV/atom. Its crystal system is tetragonal. For the density of states at the Fermi level, the calculation gives 17.6 states/eV/cell.

# 4
# Sm2CdIn

A relaxed structure of Sm2CdIn (PBE, Alexandria via LeMat-Bulk).

a = 5.4117 Å, b = 5.4117 Å, c = 5.4117 Å
α = 60.00°, β = 60.00°, γ = 60.00°
With the nearest neighbours (Å) after each atom.
Positions (direct):
In 0.2500 0.2500 0.2500  8 Sm 3.31
Sm 0.5000 0.5000 0.5000  4 Cd 3.31, 4 In 3.31
Sm 0.0000 0.0000 0.0000  4 In 3.31, 4 Cd 3.31
Cd 0.7500 0.7500 0.7500  8 Sm 3.31

Output
The energy of formation from the pure elements is -0.417 eV/atom. Its crystal system is cubic. For the density of states at the Fermi level, the calculation gives 4.2 states/eV/cell.

# 5
# Sm3Cd3In

A relaxed structure of Sm3Cd3In (PBE, Alexandria via LeMat-Bulk).

a = 4.9351 Å, b = 3.6363 Å, c = 11.0668 Å
α = 99.46°, β = 102.88°, γ = 90.00°
With the nearest neighbours (Å) after each atom.
Positions (direct):
Sm 0.9996 0.9996 0.9992  4 In 3.38, 8 Cd 3.40-3.55, 2 Sm 3.64
Sm 0.6994 0.1994 0.3988  7 Cd 3.30-3.34, 2 Sm 3.64
Sm 0.3005 0.8005 0.6010  5 Cd 3.29-3.37, 2 In 3.36, 2 Sm 3.64
Cd 0.5689 0.5689 0.1379  1 In 2.89, 2 Cd 2.92
Cd 0.8563 0.3563 0.7126  2 In 2.96, 4 Sm 3.29
Cd 0.1422 0.6422 0.2845  2 Cd 2.92
In 0.4331 0.4331 0.8662  3 Cd 2.89-2.96

Output
The energy of formation from the pure elements is -0.326 eV/atom. Its crystal system is orthorhombic. For the density of states at the Fermi level, the calculation gives 6.3 states/eV/cell.

# 6
# Sm3Cd2In

A relaxed structure of Sm3Cd2In (PBE, Alexandria via LeMat-Bulk).

a = 3.8237 Å, b = 5.3949 Å, c = 8.5719 Å
α = 108.34°, β = 90.00°, γ = 90.00°
With the nearest neighbours (Å) after each atom.
Positions (direct):
Cd 0.0000 0.3312 0.6624  8 Sm 3.29-3.35
Cd 0.0000 0.6688 0.3376  8 Sm 3.29-3.35
Sm 0.5000 0.8334 0.6669  6 Cd 3.29-3.31, 2 In 3.32
Sm 0.5000 0.1666 0.3331  6 Cd 3.29-3.31, 2 In 3.32
Sm 0.5000 0.5000 0.0000  4 In 3.31, 4 Cd 3.35
In 0.0000 0.0000 0.0000  8 Sm 3.31-3.32

Output
The energy of formation from the pure elements is -0.375 eV/atom. Its crystal system is orthorhombic. For the density of states at the Fermi level, the calculation gives 8.5 states/eV/cell. For the excess energy over the best structure of this formula in the dataset, the calculation gives 0 meV/atom.

# 7
# Sm4CdIn

A relaxed structure of Sm4CdIn (PBE, Alexandria via LeMat-Bulk).

a = 3.6428 Å, b = 7.2654 Å, c = 8.9159 Å
α = 120.44°, β = 78.21°, γ = 75.48°
With the nearest neighbours (Å) after each atom.
Positions (direct):
In 0.0000 0.0000 0.0000  8 Sm 3.34, 2 In 3.64, 2 Cd 3.65
Sm 0.8278 0.5163 0.8281  2 In 3.34, 2 Cd 3.34, 8 Sm 3.63-3.65
Sm 0.3274 0.0172 0.3281  2 Cd 3.33, 2 In 3.34, 8 Sm 3.64-3.65
Sm 0.1722 0.4837 0.1719  2 In 3.34, 2 Cd 3.34, 8 Sm 3.63-3.65
Sm 0.6726 0.9828 0.6719  2 Cd 3.33, 2 In 3.34, 8 Sm 3.64-3.65
Cd 0.5000 0.5000 0.5000  8 Sm 3.33-3.34, 2 Cd 3.64, 2 In 3.65

Output
The energy of formation from the pure elements is -0.244 eV/atom. Its crystal system is monoclinic. For the density of states at the Fermi level, the calculation gives 7.0 states/eV/cell. For the excess energy over the best structure of this formula in the dataset, the calculation gives 0 meV/atom.

# 8
# Sm12Cd6In

A relaxed structure of Sm12Cd6In (PBE, Alexandria via LeMat-Bulk).

a = 9.1457 Å, b = 9.1457 Å, c = 9.1457 Å
α = 111.21°, β = 111.21°, γ = 111.21°
With the nearest neighbours (Å) after each atom.
Positions (direct):
Sm 0.2623 0.8953 0.8329  6 Sm 3.31-3.55, 5 Cd 3.31-3.46, 1 In 3.50
Sm 0.8329 0.2623 0.8953  6 Sm 3.31-3.55, 5 Cd 3.31-3.46, 1 In 3.50
Sm 0.5303 0.8000 0.6741  7 Sm 3.31-3.55, 4 Cd 3.33-3.54, 1 In 3.43
Sm 0.8000 0.6741 0.5303  7 Sm 3.31-3.55, 4 Cd 3.33-3.54, 1 In 3.43
Sm 0.8953 0.8329 0.2623  6 Sm 3.31-3.55, 5 Cd 3.31-3.46, 1 In 3.50
Sm 0.7377 0.1047 0.1671  6 Sm 3.31-3.55, 5 Cd 3.31-3.46, 1 In 3.50
Sm 0.1047 0.1671 0.7377  6 Sm 3.31-3.55, 5 Cd 3.31-3.46, 1 In 3.50
Sm 0.4697 0.2000 0.3259  7 Sm 3.31-3.55, 4 Cd 3.33-3.54, 1 In 3.43
Sm 0.2000 0.3259 0.4697  7 Sm 3.31-3.55, 4 Cd 3.33-3.54, 1 In 3.43
Sm 0.3259 0.4697 0.2000  7 Sm 3.31-3.55, 4 Cd 3.33-3.54, 1 In 3.43
Sm 0.6741 0.5303 0.8000  7 Sm 3.31-3.55, 4 Cd 3.33-3.54, 1 In 3.43
Sm 0.1671 0.7377 0.1047  6 Sm 3.31-3.55, 5 Cd 3.31-3.46, 1 In 3.50
In 0.0000 0.0000 0.0000  12 Sm 3.43-3.50
Cd 0.3559 0.0536 0.5769  9 Sm 3.31-3.54, 3 Cd 3.41-3.67
Cd 0.4231 0.6441 0.9464  9 Sm 3.31-3.54, 3 Cd 3.41-3.67
Cd 0.5769 0.3559 0.0536  9 Sm 3.31-3.54, 3 Cd 3.41-3.67
Cd 0.9464 0.4231 0.6441  9 Sm 3.31-3.54, 3 Cd 3.41-3.67
Cd 0.6441 0.9464 0.4231  9 Sm 3.31-3.54, 3 Cd 3.41-3.67
Cd 0.0536 0.5769 0.3559  9 Sm 3.31-3.54, 3 Cd 3.41-3.67

Output
The energy of formation from the pure elements is -0.158 eV/atom. Its crystal system is trigonal. For the density of states at the Fermi level, the calculation gives 24.5 states/eV/cell.